Material: Np2Al8Pt
Method: DFT, GGA-PBE
State: optimized geometry

a = 4.2786 Å, b = 4.2786 Å, c = 11.2182 Å
α = 90.00°, β = 90.00°, γ = 90.00°
Last column: magnetic moment on the atom in μB.
Atoms (fractional coordinates):
Np 0.0000 0.0000 0.3114  3.61
Al 0.0000 0.5000 0.1273  0.00
Al 0.0000 0.5000 0.8727  0.00
Al 0.5000 0.0000 0.5000  0.01
Al 0.0000 0.5000 0.5000  0.01
Al 0.5000 0.0000 0.1273  0.00
Al 0.5000 0.5000 0.3070  0.01
Pt 0.0000 0.0000 0.0000  -0.01
Np 0.0000 0.0000 0.6886  3.61
Al 0.5000 0.5000 0.6930  0.01
Al 0.5000 0.0000 0.8727  0.00

Properties
crystal system = tetragonal
calculated density = 7.155 g cm⁻³
total moment = 0.71 μB per atom
E_form = -33.0 kJ/mol of atoms
calculated total energy = -5.97 eV per atom